VASP calculation (PBE-GGA) on crystalline La3ThF at its relaxed geometry.

Calculated values
The calculation puts the density of states at the Fermi level at 6.4 states/eV per cell. Its total energy is -29.03 eV/cell. Its density is 7.73 Mg/m³. The space-group type is Pm-3m (221). The uncorrected formation energy comes out at -22.86 kcal/mol of atoms.

Cell lengths 5.2343, 5.2343, 5.2343 Å; angles 90.00, 90.00, 90.00 degrees
With the nearest neighbours (Å) after each atom.
Element x y z (fractional)
La (0.0000, 0.0000, 0.5000)  2 F 2.62
La (0.0000, 0.5000, 0.0000)  2 F 2.62
La (0.5000, 0.0000, 0.0000)  2 F 2.62
Th (0.5000, 0.5000, 0.5000)  12 La 3.70
F (0.0000, 0.0000, 0.0000)  6 La 2.62

***

VASP calculation (PBE-GGA) on crystalline LaThF at its relaxed geometry.

Calculated values
The calculation puts the density of states at the Fermi level at 3.7 states/eV per cell. Its total energy is -37.87 eV/cell. Its density is 8.24 Mg/m³. The space-group type is C2/m (12). The uncorrected formation energy comes out at -36.27 kcal/mol of atoms.

Cell lengths 3.6382, 3.6382, 12.1090 Å; angles 97.98, 97.98, 90.07 degrees
With the nearest neighbours (Å) after each atom.
Element x y z (fractional)
La (0.1028, 0.1028, 0.1774)  4 F 2.57-2.58
La (0.8972, 0.8972, 0.8226)  4 F 2.57-2.58
Th (0.2977, 0.2977, 0.6037)  1 F 2.78
Th (0.7023, 0.7023, 0.3963)  1 F 2.78
F (0.4048, 0.4048, 0.8379)  4 La 2.57-2.58, 1 Th 2.78
F (0.5952, 0.5952, 0.1621)  4 La 2.57-2.58, 1 Th 2.78

***

VASP calculation (PBE-GGA) on crystalline La2TiF at its relaxed geometry.

Calculated values
The calculation puts the density of states at the Fermi level at 10.2 states/eV per cell. Its total energy is -44.29 eV/cell. Its density is 5.36 Mg/m³. The space-group type is I-42d (122). The uncorrected formation energy comes out at -14.56 kcal/mol of atoms.

Cell lengths 7.6197, 7.6197, 7.6197 Å; angles 135.58, 135.58, 64.63 degrees
With the nearest neighbours (Å) after each atom.
Element x y z (fractional)
La (0.0848, 0.6250, 0.9598)  2 F 2.48, 2 Ti 2.73
La (0.3750, 0.3348, 0.4598)  2 F 2.48, 2 Ti 2.73
La (0.6652, 0.1250, 0.0402)  2 F 2.48, 2 Ti 2.73
La (0.8750, 0.9152, 0.5402)  2 F 2.48, 2 Ti 2.73
Ti (0.2500, 0.7500, 0.5000)  4 La 2.73
Ti (0.5000, 0.5000, 0.0000)  4 La 2.73
F (0.0000, 0.0000, 0.0000)  4 La 2.48
F (0.7500, 0.2500, 0.5000)  4 La 2.48